Entry 1:
VASP calculation (GGA-PBE) on an optimized crystal structure of CaSnP2O.

Computed properties:
Density, g/cm3: 3.60
Energy, eV per atom: -4.587
Polymorph energy (0 for the lowest one), eV per atom: 0.000

abc: 5.2451 5.2451 3.9686
angles: 90.00 90.00 90.00
Closest atoms and distances in Å follow each position.
Space group P4/mmm (No. 123)
Unique sites:
Ca: 0.0000 0.0000 0.0000 x1  8 P 3.29
Sn: 0.5000 0.5000 0.5000 x1  2 O 1.98
P: 0.0000 0.5000 0.5000 x2  2 Sn 2.62
O: 0.5000 0.5000 0.0000 x1  2 Sn 1.98



Entry 2:
VASP calculation (GGA-PBE) on an optimized crystal structure of CaSnPO2.

Computed properties:
Density, g/cm3: 3.56
Energy, eV per atom: -4.576
Polymorph energy (0 for the lowest one), eV per atom: 0.656

abc: 4.2543 4.2543 5.7228
angles: 90.00 90.00 90.00
Closest atoms and distances in Å follow each position.
Space group P4/mmm (No. 123)
Unique sites:
Ca: 0.0000 0.0000 0.0000 x1  4 O 2.13
Sn: 0.5000 0.5000 0.5000 x1  4 P 3.01
P: 0.0000 0.0000 0.5000 x1  2 Ca 2.86, 4 Sn 3.01
O: 0.0000 0.5000 0.0000 x2  2 Ca 2.13



Entry 3:
VASP calculation (GGA-PBE) on an optimized crystal structure of CaSn2P2O10.

Computed properties:
Density, g/cm3: 4.40
Energy, eV per atom: -6.825

abc: 7.6046 11.9490 16.6047
angles: 90.00 90.00 90.00
Closest atoms and distances in Å follow each position.
Space group Fddd (No. 70, origin choice 2)
Unique sites:
Ca: 0.1250 0.1250 0.1250 x8  4 O 2.45
Sn: 0.0000 0.0000 0.5000 x16  4 O 1.94-2.16
P: 0.1250 0.1250 0.3300 x16  4 O 1.55-1.56
O: 0.0357 0.3648 0.5231 x32  1 P 1.55
O: 0.1015 0.0205 0.8646 x32  1 P 1.56
O: 0.1250 0.1250 0.5477 x16  2 Sn 1.94



Entry 4:
VASP calculation (GGA-PBE) on an optimized crystal structure of CaSnP2O8.

Computed properties:
Density, g/cm3: 3.77
Energy, eV per atom: -6.971

abc: 4.9442 4.9442 7.2492
angles: 90.00 90.00 120.00
Closest atoms and distances in Å follow each position.
Space group P-3 (No. 147)
Unique sites:
Ca: 0.0000 0.0000 0.0000 x1  12 O 2.78-2.87
Sn: 0.0000 0.0000 0.5000 x1  6 O 2.06
P: 0.3333 0.6667 0.7542 x2  4 O 1.51-1.56
O: 0.0660 0.3448 0.6834 x6  1 P 1.56
O: 0.3333 0.6667 0.9630 x2  1 P 1.51



Entry 5:
VASP calculation (GGA-PBE) on an optimized crystal structure of CaSnPO2.

Computed properties:
Density, g/cm3: 4.17
Energy, eV per atom: -5.232
Polymorph energy (0 for the lowest one), eV per atom: 0.000

abc: 4.1378 4.1378 5.1549
angles: 90.00 90.00 90.00
Closest atoms and distances in Å follow each position.
Space group P4/mmm (No. 123)
Unique sites:
Ca: 0.0000 0.0000 0.0000 x1  4 P 2.93
Sn: 0.5000 0.5000 0.5000 x1  4 O 2.07
P: 0.5000 0.5000 0.0000 x1  2 Sn 2.58
O: 0.0000 0.5000 0.5000 x2  2 Sn 2.07



Entry 6:
VASP calculation (GGA-PBE) on an optimized crystal structure of CaSnP2O7.

Computed properties:
Density, g/cm3: 3.69
Energy, eV per atom: -7.026
Polymorph energy (0 for the lowest one), eV per atom: 0.000

abc: 6.5659 7.0236 7.0551
angles: 86.96 67.27 88.57
Closest atoms and distances in Å follow each position.
Space group P-1 (No. 2)
Unique sites:
Ca: 0.1865 0.3644 0.2953 x2  6 O 2.35-2.54
Sn: 0.2405 0.8492 0.8881 x2  3 O 2.24-2.42
P: 0.2769 0.3954 0.7655 x2  4 O 1.52-1.62
P: 0.3184 0.8517 0.3354 x2  4 O 1.52-1.64
O: 0.1404 0.3155 0.9842 x2  1 P 1.54
O: 0.1409 0.8342 0.5507 x2  1 P 1.52
O: 0.1454 0.4326 0.6312 x2  1 P 1.52
O: 0.2806 0.7261 0.1787 x2  1 P 1.55
O: 0.3750 0.0598 0.2514 x2  1 P 1.55
O: 0.4096 0.5723 0.7772 x2  1 P 1.56
O: 0.4541 0.2332 0.6472 x2  2 P 1.62-1.64



Entry 7:
VASP calculation (GGA-PBE) on an optimized crystal structure of CaSnP2O.

Computed properties:
Density, g/cm3: 3.29
Energy, eV per atom: -4.046
Polymorph energy (0 for the lowest one), eV per atom: 0.541

abc: 5.3352 5.3352 4.2004
angles: 90.00 90.00 90.00
Closest atoms and distances in Å follow each position.
Space group P4/mmm (No. 123)
Unique sites:
Ca: 0.0000 0.0000 0.0000 x1  2 O 2.10
Sn: 0.5000 0.5000 0.5000 x1  8 P 3.40, 4 O 3.77
P: 0.0000 0.5000 0.0000 x2  2 Ca 2.67
O: 0.0000 0.0000 0.5000 x1  2 Ca 2.10



Entry 8:
VASP calculation (GGA-PBE) on an optimized crystal structure of CaSnP2O7.

Computed properties:
Density, g/cm3: 3.58
Energy, eV per atom: -7.007
Polymorph energy (0 for the lowest one), eV per atom: 0.019

abc: 6.8972 6.9704 7.1796
angles: 82.28 64.51 84.97
Closest atoms and distances in Å follow each position.
Space group P-1 (No. 2)
Unique sites:
Ca: 0.2200 0.1547 0.3532 x2  5 O 2.31-2.44
Sn: 0.3914 0.3141 0.7599 x2  5 O 2.31-2.56
P: 0.1464 0.6676 0.1851 x2  4 O 1.52-1.67
P: 0.2730 0.8234 0.7286 x2  4 O 1.52-1.61
O: 0.0916 0.3172 0.6608 x2  1 P 1.54
O: 0.1110 0.9024 0.6441 x2  1 P 1.52
O: 0.1348 0.7188 0.9566 x2  2 P 1.61-1.67
O: 0.2457 0.4637 0.1832 x2  1 P 1.52
O: 0.2818 0.8213 0.2037 x2  1 P 1.54
O: 0.4135 0.9759 0.7423 x2  1 P 1.54
O: 0.4308 0.6676 0.5978 x2  1 P 1.56



Entry 9:
VASP calculation (GGA-PBE) on an optimized crystal structure of CaSnP2O7.

Computed properties:
Density, g/cm3: 3.25
Energy, eV per atom: -7.004
Polymorph energy (0 for the lowest one), eV per atom: 0.022

abc: 7.2833 10.2615 9.7692
angles: 90.00 111.36 90.00
Closest atoms and distances in Å follow each position.
Space group P2_1/c (No. 14)
Unique sites:
Ca: 0.1812 0.0365 0.2863 x4  5 O 2.26-2.44
Sn: 0.3191 0.1339 0.9421 x4  3 O 2.21-2.28
P: 0.0025 0.7121 0.9650 x4  4 O 1.52-1.62
P: 0.3987 0.7489 0.2161 x4  4 O 1.52-1.62
O: 0.0089 0.1179 0.6582 x4  1 P 1.52
O: 0.0118 0.1439 0.0756 x4  1 P 1.52
O: 0.1557 0.1829 0.4649 x4  1 P 1.57
O: 0.2109 0.6782 0.0950 x4  2 P 1.62
O: 0.3687 0.6046 0.7109 x4  1 P 1.52
O: 0.4209 0.6841 0.3620 x4  1 P 1.53
O: 0.4244 0.2105 0.3304 x4  1 P 1.56



Entry 10:
VASP calculation (GGA-PBE) on an optimized crystal structure of CaSnP4O12.

Computed properties:
Density, g/cm3: 2.80
Energy, eV per atom: -7.063

abc: 13.1092 8.9364 11.1625
angles: 90.00 120.53 90.00
Closest atoms and distances in Å follow each position.
Space group C2/c (No. 15)
Unique sites:
Ca: 0.0000 0.0256 0.2500 x4  6 O 2.26-2.50
Sn: 0.2500 0.2500 0.5000 x4  6 O 2.42-2.51
P: 0.0037 0.2702 0.9772 x8  4 O 1.48-1.62
P: 0.1849 0.4919 0.1789 x8  4 O 1.49-1.62
O: 0.0334 0.2312 0.4177 x8  1 P 1.52
O: 0.0377 0.1466 0.9155 x8  1 P 1.48
O: 0.1007 0.3639 0.6504 x8  2 P 1.62
O: 0.1094 0.3914 0.0413 x8  2 P 1.61
O: 0.2046 0.4164 0.3076 x8  1 P 1.49
O: 0.2080 0.0443 0.3281 x8  1 P 1.52



Entry 11:
VASP calculation (GGA-PBE) on an optimized crystal structure of CaSn3P3O13.

Computed properties:
Density, g/cm3: 3.96
Energy, eV per atom: -6.767

abc: 7.7349 6.8623 11.1348
angles: 90.00 98.41 90.00
Closest atoms and distances in Å follow each position.
Space group P2_1/m (No. 11)
Unique sites:
Ca: 0.1465 0.2500 0.2052 x2  3 O 2.28-2.48
Sn: 0.1768 0.2500 0.7556 x2  5 O 2.01-2.20
Sn: 0.2533 0.7500 0.4555 x2  4 O 2.18-2.33
Sn: 0.5000 0.0000 0.0000 x2  6 O 2.20-2.25
P: 0.1602 0.7500 0.0913 x2  4 O 1.51-1.60
P: 0.2690 0.7500 0.7562 x2  4 O 1.51-1.61
P: 0.2973 0.2500 0.4819 x2  4 O 1.53-1.61
O: 0.0219 0.7500 0.9811 x2  1 P 1.51
O: 0.0745 0.7500 0.2133 x2  1 P 1.60
O: 0.1473 0.5693 0.7593 x4  1 P 1.56
O: 0.1535 0.2500 0.5731 x2  1 P 1.61
O: 0.2612 0.0749 0.3947 x4  1 P 1.54
O: 0.2769 0.5605 0.1033 x4  1 P 1.58
O: 0.3668 0.2500 0.9029 x2  3 Sn 2.04-2.20
O: 0.3770 0.7500 0.6537 x2  1 P 1.51
O: 0.4066 0.7500 0.8793 x2  1 P 1.61
O: 0.4722 0.2500 0.5672 x2  1 P 1.53



Entry 12:
VASP calculation (GGA-PBE) on an optimized crystal structure of CaSnP2O6.

Computed properties:
Density, g/cm3: 3.91
Energy, eV per atom: -6.630

abc: 6.0021 6.0021 12.9223
angles: 90.00 90.00 120.00
Closest atoms and distances in Å follow each position.
Space group R-3 (No. 148, hexagonal axes)
Unique sites:
Ca: 0.0000 0.0000 0.0000 x3  6 O 2.40
Sn: 0.0000 0.0000 0.5000 x3  6 O 2.71, 2 P 2.72
P: 0.0000 0.0000 0.2893 x6  3 O 1.54
O: 0.0350 0.7727 0.7439 x18  1 P 1.54



Going through the records in order, we get energy relative to the elements, uncorrected values of -0.230, -0.310, -2.131, -2.263, -0.966, -2.341, 0.311, -2.322, -2.319, -2.222, -2.033, -1.972 eV per atom.